[1]
ThSc3Cu4, relaxed, DFT PBE-GGA; formation enthalpy at 0 K = -19 kJ/mol of atoms; total moment = 0.000 μB/atom; uncorrected energy = -5.543 eV per atom; symmetry = Pmma (51); DOS(E_F) = 0.96 states/eV per atom
1.0
-0.231 0.438 -4.719
-4.083 -5.271 -0.289
-7.495 5.756 0.901
Cu Th Sc
8 2 6
direct
0.500 0.776 0.000
0.994 0.776 0.250
0.006 0.776 0.750
0.500 0.224 0.000
0.500 0.224 0.500
0.994 0.224 0.250
0.006 0.224 0.750
0.500 0.776 0.500
0.000 0.500 0.000
0.000 0.500 0.500
0.496 0.000 0.250
0.504 0.000 0.750
0.498 0.500 0.250
0.000 0.000 0.500
0.502 0.500 0.750
0.000 0.000 0.000

[2]
ThSc2Cu3, relaxed, DFT PBE-GGA; formation enthalpy at 0 K = -19 kJ/mol of atoms; total moment = 0.000 μB/atom; uncorrected energy = -5.592 eV per atom; symmetry = P4/mmm (123); DOS(E_F) = 0.89 states/eV per atom
1.0
3.321 0.000 0.000
0.000 3.321 0.000
0.000 0.000 10.344
Sc Th Cu
2 1 3
direct
0.500 0.500 0.845
0.500 0.500 0.155
0.500 0.500 0.500
0.000 0.000 0.000
0.000 0.000 0.701
0.000 0.000 0.299

[3]
ThScCu3, relaxed, DFT PBE-GGA; formation enthalpy at 0 K = -20 kJ/mol of atoms; total moment = 0.000 μB/atom; uncorrected energy = -5.412 eV per atom; symmetry = Cmcm (63); DOS(E_F) = 0.75 states/eV per atom
1.0
-2.596 -0.864 2.035
-1.710 -2.395 -3.197
7.864 -9.698 3.059
Th Cu Sc
2 6 2
direct
0.077 0.250 0.153
0.923 0.750 0.847
0.320 0.750 0.639
0.475 0.250 0.950
0.525 0.750 0.050
0.625 0.750 0.250
0.680 0.250 0.361
0.375 0.250 0.750
0.790 0.250 0.581
0.210 0.750 0.419

[4]
Th2ScCu6, relaxed, DFT PBE-GGA; formation enthalpy at 0 K = -16 kJ/mol of atoms; total moment = 0.000 μB/atom; uncorrected energy = -5.251 eV per atom; symmetry = P6/mmm (191); DOS(E_F) = 1.01 states/eV per atom
1.0
3.447 0.000 0.000
0.000 6.464 -3.732
0.000 0.000 7.465
Cu Th Sc
6 2 1
direct
0.500 0.000 0.673
0.500 0.327 0.327
0.500 0.673 0.673
0.500 0.000 0.327
0.500 0.673 0.000
0.500 0.327 0.000
0.000 0.667 0.333
0.000 0.333 0.667
0.000 0.000 0.000

[5]
ThScTlCu, relaxed, DFT PBE-GGA; formation enthalpy at 0 K = -7 kJ/mol of atoms; total moment = 0.182 μB/atom; uncorrected energy = -5.121 eV per atom; symmetry = F-43m (216); DOS(E_F) = 1.08 states/eV per atom
1.0
5.155 0.000 0.000
2.578 4.465 0.000
2.578 1.488 4.209
Tl Cu Sc Th
1 1 1 1
direct
0.750 0.750 0.750
0.250 0.250 0.250
0.500 0.500 0.500
0.000 0.000 0.000

[6]
TmThScCu, relaxed, DFT PBE-GGA; formation enthalpy at 0 K = -10 kJ/mol of atoms; total moment = 0.000 μB/atom; uncorrected energy = -5.684 eV per atom; symmetry = P4mm (99); DOS(E_F) = 1.25 states/eV per atom
1.0
3.436 0.000 0.000
0.000 3.436 0.000
0.000 0.000 8.128
Cu Sc Tm Th
1 1 1 1
direct
0.000 0.000 0.558
0.500 0.500 0.374
0.500 0.500 0.769
0.000 0.000 0.083

- Number 2 is which compound?
  ThSc2Cu3